YHo2Fe7Co2 after structural relaxation, computed with PBE.

Output
- calculated volume (Å³/atom) = 14.79
- calculated density (g cm⁻³) = 8.680
- formation energy (eV per formula unit) = -1.24
- symmetry = R-3m (166)
- total magnetization (μB per atom) = 1.353

Lattice parameters (Å, degrees): 8.5966 8.5966 8.5966 34.04 34.04 34.04
With the nearest neighbours (Å) after each atom.
Fractional positions:
Fe: 0.0823 0.5814 0.5814  2 Co 2.44-2.47, 5 Fe 2.51-2.52
Fe: 0.5000 0.5000 0.5000  6 Fe 2.52
Fe: 0.4186 0.9177 0.4186  2 Co 2.44-2.47, 5 Fe 2.51-2.52
Fe: 0.9177 0.4186 0.4186  2 Co 2.44-2.47, 5 Fe 2.51-2.52
Fe: 0.5814 0.5814 0.0823  2 Co 2.44-2.47, 5 Fe 2.51-2.52
Fe: 0.4186 0.4186 0.9177  2 Co 2.44-2.47, 5 Fe 2.51-2.52
Fe: 0.5814 0.0823 0.5814  2 Co 2.44-2.47, 5 Fe 2.51-2.52
Ho: 0.8579 0.8579 0.8579  12 Fe 2.91-3.03, 3 Ho 3.14
Ho: 0.1421 0.1421 0.1421  12 Fe 2.91-3.03, 3 Ho 3.14
Co: 0.6674 0.6674 0.6674  6 Fe 2.44-2.47
Co: 0.3326 0.3326 0.3326  6 Fe 2.44-2.47
Y: 0.0000 0.0000 0.0000  6 Co 2.91, 12 Fe 3.20



YHo2FeCo8 after structural relaxation, computed with PBE.

Output
- calculated volume (Å³/atom) = 14.38
- calculated density (g cm⁻³) = 9.107
- formation energy (eV per formula unit) = -2.17
- symmetry = R-3m (166)
- total magnetization (μB per atom) = 0.976

Lattice parameters (Å, degrees): 8.4819 8.4819 8.4819 34.27 34.27 34.27
With the nearest neighbours (Å) after each atom.
Fractional positions:
Co: 0.9208 0.4165 0.4165  6 Co 2.43-2.52, 1 Fe 2.49
Co: 0.6660 0.6660 0.6660  6 Co 2.43-2.44
Co: 0.0792 0.5835 0.5835  6 Co 2.43-2.52, 1 Fe 2.49
Co: 0.4165 0.9208 0.4165  6 Co 2.43-2.52, 1 Fe 2.49
Co: 0.4165 0.4165 0.9208  6 Co 2.43-2.52, 1 Fe 2.49
Co: 0.5835 0.0792 0.5835  6 Co 2.43-2.52, 1 Fe 2.49
Co: 0.3340 0.3340 0.3340  6 Co 2.43-2.44
Co: 0.5835 0.5835 0.0792  6 Co 2.43-2.52, 1 Fe 2.49
Fe: 0.5000 0.5000 0.5000  6 Co 2.49
Y: 0.0000 0.0000 0.0000  18 Co 2.89-3.18
Ho: 0.1397 0.1397 0.1397  9 Co 2.85-3.03, 3 Fe 2.96, 3 Ho 3.16
Ho: 0.8603 0.8603 0.8603  9 Co 2.85-3.03, 3 Fe 2.96, 3 Ho 3.16



Y2HoFe3Co6 after structural relaxation, computed with PBE.

Output
- calculated volume (Å³/atom) = 14.63
- calculated density (g cm⁻³) = 8.173
- formation energy (eV per formula unit) = -2.07
- symmetry = R-3m (166)
- total magnetization (μB per atom) = 1.094

Lattice parameters (Å, degrees): 8.4068 8.4068 8.4068 35.11 35.11 35.11
With the nearest neighbours (Å) after each atom.
Fractional positions:
Co: 0.0810 0.5816 0.5816  3 Fe 2.41-2.49, 4 Co 2.53-2.54
Co: 0.4184 0.4184 0.9190  3 Fe 2.41-2.49, 4 Co 2.53-2.54
Co: 0.5816 0.5816 0.0810  3 Fe 2.41-2.49, 4 Co 2.53-2.54
Co: 0.5816 0.0810 0.5816  3 Fe 2.41-2.49, 4 Co 2.53-2.54
Co: 0.9190 0.4184 0.4184  3 Fe 2.41-2.49, 4 Co 2.53-2.54
Co: 0.4184 0.9190 0.4184  3 Fe 2.41-2.49, 4 Co 2.53-2.54
Fe: 0.5000 0.5000 0.5000  6 Co 2.49
Fe: 0.6669 0.6669 0.6669  6 Co 2.41-2.42
Fe: 0.3331 0.3331 0.3331  6 Co 2.41-2.42
Ho: 0.0000 0.0000 0.0000  6 Fe 2.93, 12 Co 3.18
Y: 0.1407 0.1407 0.1407  9 Co 2.90-3.01, 3 Fe 2.99, 3 Y 3.18
Y: 0.8593 0.8593 0.8593  9 Co 2.90-3.01, 3 Fe 2.99, 3 Y 3.18



YHo2Fe8Co after structural relaxation, computed with PBE.

Output
- calculated volume (Å³/atom) = 14.85
- calculated density (g cm⁻³) = 8.616
- formation energy (eV per formula unit) = -1.30
- symmetry = R-3m (166)
- total magnetization (μB per atom) = 1.420

Lattice parameters (Å, degrees): 8.5729 8.5729 8.5729 34.27 34.27 34.27
With the nearest neighbours (Å) after each atom.
Fractional positions:
Ho: 0.8579 0.8579 0.8579  9 Fe 2.92-3.02, 3 Co 2.98, 3 Ho 3.15
Ho: 0.1421 0.1421 0.1421  9 Fe 2.92-3.02, 3 Co 2.98, 3 Ho 3.15
Y: 0.0000 0.0000 0.0000  18 Fe 2.92-3.21
Fe: 0.5818 0.0820 0.5818  6 Fe 2.45-2.53, 1 Co 2.52
Fe: 0.3328 0.3328 0.3328  6 Fe 2.45-2.47
Fe: 0.4182 0.9180 0.4182  6 Fe 2.45-2.53, 1 Co 2.52
Fe: 0.4182 0.4182 0.9180  6 Fe 2.45-2.53, 1 Co 2.52
Fe: 0.6672 0.6672 0.6672  6 Fe 2.45-2.47
Fe: 0.0820 0.5818 0.5818  6 Fe 2.45-2.53, 1 Co 2.52
Fe: 0.9180 0.4182 0.4182  6 Fe 2.45-2.53, 1 Co 2.52
Fe: 0.5818 0.5818 0.0820  6 Fe 2.45-2.53, 1 Co 2.52
Co: 0.5000 0.5000 0.5000  6 Fe 2.52



Y2HoFe6Co3 after structural relaxation, computed with PBE.

Output
- calculated volume (Å³/atom) = 14.85
- calculated density (g cm⁻³) = 7.965
- formation energy (eV per formula unit) = -1.32
- symmetry = R-3m (166)
- total magnetization (μB per atom) = 1.342

Lattice parameters (Å, degrees): 8.5949 8.5949 8.5949 34.13 34.13 34.13
With the nearest neighbours (Å) after each atom.
Fractional positions:
Fe: 0.4187 0.9185 0.4187  3 Co 2.44-2.53, 4 Fe 2.52
Fe: 0.5813 0.0815 0.5813  3 Co 2.44-2.53, 4 Fe 2.52
Fe: 0.9185 0.4187 0.4187  3 Co 2.44-2.53, 4 Fe 2.52
Fe: 0.4187 0.4187 0.9185  3 Co 2.44-2.53, 4 Fe 2.52
Fe: 0.0815 0.5813 0.5813  3 Co 2.44-2.53, 4 Fe 2.52
Fe: 0.5813 0.5813 0.0815  3 Co 2.44-2.53, 4 Fe 2.52
Y: 0.1419 0.1419 0.1419  9 Fe 2.92-3.04, 3 Co 2.97, 3 Y 3.15
Y: 0.8581 0.8581 0.8581  9 Fe 2.92-3.04, 3 Co 2.97, 3 Y 3.15
Co: 0.3325 0.3325 0.3325  6 Fe 2.44-2.47
Co: 0.6675 0.6675 0.6675  6 Fe 2.44-2.47
Co: 0.5000 0.5000 0.5000  6 Fe 2.53
Ho: 0.0000 0.0000 0.0000  6 Co 2.91, 12 Fe 3.20



InFeCoIr after structural relaxation, computed with PBE.

Output
- calculated volume (Å³/atom) = 14.59
- E_tot (eV per atom) = -6.714
- calculated density (g cm⁻³) = 12.000
- symmetry = F-43m (216)
- total magnetization (μB per atom) = 1.250

Lattice parameters (Å, degrees): 4.3541 4.3541 4.3541 60.00 60.00 60.00
With the nearest neighbours (Å) after each atom.
Fractional positions:
Ir: 0.2500 0.2500 0.2500  4 Fe 2.67, 4 In 2.67
In: 0.0000 0.0000 0.0000  4 Co 2.67, 4 Ir 2.67
Co: 0.7500 0.7500 0.7500  4 In 2.67, 4 Fe 2.67
Fe: 0.5000 0.5000 0.5000  4 Ir 2.67, 4 Co 2.67